First-principles (PBEsol) data for a relaxed structure of KSr2Ag, as listed in Alexandria.

a = 11.192 Å, b = 11.192 Å, c = 11.192 Å
α = 23.31°, β = 23.31°, γ = 23.31°
Element x y z (fractional)
1 K 0.000 0.000 0.000
2 Sr 0.220 0.220 0.220
3 Sr 0.780 0.780 0.780
4 Ag 0.500 0.500 0.500

Calculated values
Energy relative to the lowest polymorph listed for this composition = 1.6 kJ/mol of atoms
Mass density = 2.78 g cm⁻³
Formation enthalpy at 0 K = -0.05 eV/atom
Spin magnetization = 0.00 μB/f.u.

=====

First-principles (PBEsol) data for a relaxed structure of TcSb2H, as listed in Alexandria.

a = 5.521 Å, b = 5.521 Å, c = 5.521 Å
α = 111.23°, β = 111.23°, γ = 106.00°
Element x y z (fractional)
1 Tc 0.000 0.000 0.000
2 Tc 0.750 0.250 0.500
3 Sb 0.194 0.625 0.069
4 Sb 0.375 0.444 0.569
5 Sb 0.556 0.125 0.931
6 Sb 0.875 0.806 0.431
7 H 0.250 0.750 0.500
8 H 0.500 0.500 0.000

Calculated values
DFT total energy = -5.4106 eV/atom
Mass density = 8.80 g cm⁻³
Spin magnetization = 0.00 μB/f.u.

=====

First-principles (PBEsol) data for a relaxed structure of HfNF3, as listed in Alexandria.

a = 4.053 Å, b = 4.053 Å, c = 4.053 Å
α = 90.00°, β = 90.00°, γ = 90.00°
Element x y z (fractional)
1 Hf 0.000 0.000 0.000
2 N 0.500 0.500 0.500
3 F 0.000 0.000 0.500
4 F 0.000 0.500 0.000
5 F 0.500 0.000 0.000

Calculated values
Mass density = 6.22 g cm⁻³
Spin magnetization = 2.05 μB/f.u.
Formation energy (no corrections) = -1.753 eV/atom

=====

First-principles (PBEsol) data for a relaxed structure of Na2V6O15, as listed in Alexandria.

a = 7.786 Å, b = 7.786 Å, c = 10.324 Å
α = 102.09°, β = 102.09°, γ = 26.87°
Element x y z (fractional)
1 Na 0.038 0.038 0.355
2 Na 0.962 0.962 0.645
3 V 0.173 0.173 0.909
4 V 0.219 0.219 0.603
5 V 0.391 0.391 0.890
6 V 0.609 0.609 0.110
7 V 0.781 0.781 0.397
8 V 0.827 0.827 0.091
9 O 0.076 0.076 0.811
10 O 0.110 0.110 0.568
11 O 0.129 0.129 0.079
12 O 0.245 0.245 0.783
13 O 0.248 0.248 0.421
14 O 0.310 0.310 0.042
15 O 0.411 0.411 0.740
16 O 0.500 0.500 0.000
17 O 0.589 0.589 0.260
18 O 0.690 0.690 0.958
19 O 0.752 0.752 0.579
20 O 0.755 0.755 0.217
21 O 0.871 0.871 0.921
22 O 0.890 0.890 0.432
23 O 0.924 0.924 0.189

Calculated values
Mass density = 3.56 g cm⁻³
Spin magnetization = 1.38 μB/f.u.
Formation energy (no corrections) = -2.308 eV/atom

=====

First-principles (PBEsol) data for a relaxed structure of RbCuSnS3, as listed in Alexandria.

a = 7.761 Å, b = 7.761 Å, c = 20.078 Å
α = 95.55°, β = 95.55°, γ = 90.00°
Element x y z (fractional)
1 Rb 0.103 0.727 0.909
2 Rb 0.273 0.398 0.591
3 Rb 0.273 0.897 0.591
4 Rb 0.398 0.273 0.091
5 Rb 0.602 0.727 0.909
6 Rb 0.727 0.103 0.409
7 Rb 0.727 0.602 0.409
8 Rb 0.897 0.273 0.091
9 Cu 0.061 0.437 0.750
10 Cu 0.062 0.938 0.750
11 Cu 0.437 0.061 0.250
12 Cu 0.437 0.563 0.250
13 Cu 0.563 0.437 0.750
14 Cu 0.563 0.939 0.750
15 Cu 0.938 0.062 0.250
16 Cu 0.939 0.563 0.250
17 Sn 0.157 0.782 0.129
18 Sn 0.218 0.343 0.371
19 Sn 0.218 0.843 0.371
20 Sn 0.343 0.218 0.871
21 Sn 0.657 0.782 0.129
22 Sn 0.782 0.157 0.629
23 Sn 0.782 0.657 0.629
24 Sn 0.843 0.218 0.871
25 S 0.062 0.172 0.688
26 S 0.062 0.672 0.690
27 S 0.113 0.238 0.950
28 S 0.172 0.062 0.188
29 S 0.172 0.532 0.188
30 S 0.237 0.612 0.450
31 S 0.238 0.113 0.450
32 S 0.328 0.467 0.810
33 S 0.328 0.938 0.810
34 S 0.388 0.763 0.050
35 S 0.467 0.328 0.310
36 S 0.468 0.828 0.312
37 S 0.532 0.172 0.688
38 S 0.533 0.672 0.690
39 S 0.612 0.237 0.950
40 S 0.672 0.062 0.190
41 S 0.672 0.533 0.190
42 S 0.762 0.887 0.550
43 S 0.763 0.388 0.550
44 S 0.828 0.468 0.812
45 S 0.828 0.938 0.812
46 S 0.887 0.762 0.050
47 S 0.938 0.328 0.310
48 S 0.938 0.828 0.312

Calculated values
Mass density = 4.04 g cm⁻³
Spin magnetization = 0.00 μB/f.u.
Formation energy (no corrections) = -0.656 eV/atom

=====

First-principles (PBEsol) data for a relaxed structure of KAu, as listed in Alexandria.

a = 6.244 Å, b = 6.244 Å, c = 4.708 Å
α = 90.00°, β = 90.00°, γ = 137.54°
Element x y z (fractional)
1 K 0.144 0.856 0.750
2 K 0.856 0.144 0.250
3 Au 0.436 0.564 0.750
4 Au 0.564 0.436 0.250

Calculated values
Mass density = 6.33 g cm⁻³
Formation enthalpy at 0 K = -0.18 eV/atom
Spin magnetization = 0.00 μB/f.u.

=====

First-principles (PBEsol) data for a relaxed structure of TlZnSi2, as listed in Alexandria.

a = 5.855 Å, b = 5.855 Å, c = 5.855 Å
α = 151.44°, β = 129.48°, γ = 59.06°
Element x y z (fractional)
1 Tl 0.000 0.000 0.000
2 Zn 0.500 0.500 0.000
3 Si 0.282 0.782 0.500
4 Si 0.718 0.218 0.500

Calculated values
Energy relative to the lowest polymorph listed for this composition = 13.8 kJ/mol of atoms
Mass density = 7.36 g cm⁻³
Spin magnetization = 0.00 μB/f.u.
Formation energy (no corrections) = 0.454 eV/atom

=====

First-principles (PBEsol) data for a relaxed structure of LaSb, as listed in Alexandria.

a = 4.560 Å, b = 4.560 Å, c = 4.560 Å
α = 60.00°, β = 60.00°, γ = 60.00°
Element x y z (fractional)
1 La 0.000 0.000 0.000
2 Sb 0.500 0.500 0.500

Calculated values
Mass density = 6.45 g cm⁻³
Spin magnetization = 0.00 μB/f.u.
Formation energy (no corrections) = -1.254 eV/atom

=====

Calculated values (states/eV/cell) of density of states at the Fermi level for the records, taken in order: 2.9, 1.9, 2.7, 4.5, 4.1, 0.3, 1.5, 0.3.